Density functional theory data (GGA-PBE) for a relaxed Nb3Ga4Ir crystal.

Cell lengths 5.639, 5.546, 8.348 Å; angles 90.00, 90.00, 90.00 degrees
Positions (direct):
Nb 0.450 0.260 0.239
Nb 0.950 0.740 0.739
Nb 0.721 0.493 0.000
Nb 0.221 0.507 0.500
Nb 0.450 0.260 0.761
Nb 0.950 0.740 0.261
Ga 0.664 0.990 0.000
Ga 0.948 0.242 0.741
Ga 0.164 0.010 0.500
Ga 0.210 0.508 0.000
Ga 0.948 0.242 0.259
Ga 0.710 0.492 0.500
Ga 0.448 0.758 0.241
Ga 0.448 0.758 0.759
Ir 0.125 0.995 0.000
Ir 0.625 0.005 0.500

Calculated values
Electronic total energy: -6.644 eV/atom
Symmetry: Pmn2_1
Formation enthalpy at 0 K: -0.247 eV per atom
Density of states at the Fermi level: 0.758 states/eV per atom


Density functional theory data (GGA-PBE) for a relaxed NbGa2Ir crystal.

Cell lengths 4.452, 4.452, 4.452 Å; angles 60.00, 60.00, 60.00 degrees
Last column: magnetic moment on the atom in μB.
Positions (direct):
Ir 0.500 0.500 0.500  0.34
Nb 0.000 0.000 0.000  1.48
Ga 0.750 0.750 0.750  0.06
Ga 0.250 0.250 0.250  0.06

Calculated values
Electronic total energy: -6.432 eV/atom
Symmetry: Fm-3m
Formation enthalpy at 0 K: -0.186 eV per atom
Density of states at the Fermi level: 0.492 states/eV per atom


Density functional theory data (GGA-PBE) for a relaxed NbGaIr2 crystal.

Cell lengths 2.931, 2.931, 7.086 Å; angles 90.00, 90.00, 90.00 degrees
Positions (direct):
Ga 0.500 0.500 0.000
Ir 0.000 0.000 0.230
Ir 0.000 0.000 0.770
Nb 0.500 0.500 0.500

Calculated values
Electronic total energy: -8.250 eV/atom
Symmetry: P4/mmm
Formation enthalpy at 0 K: -0.545 eV per atom
Density of states at the Fermi level: 0.733 states/eV per atom